No. 1
# Cs2Zr2Hg3S8

Crystalline Cs2Zr2Hg3S8 at its relaxed geometry (GGA-PBE, the Open Quantum Materials Database).

## Properties
- total energy (Ry/atom) = -0.3247
- crystal system = triclinic

Lattice parameters (Å, degrees): 6.844 8.209 9.287 106.54 93.89 108.28
Positions (direct):
Cs: 0.109 0.456 0.247
Cs: 0.891 0.544 0.753
Zr: 0.258 0.154 0.762
Zr: 0.742 0.846 0.238
Hg: 0.311 0.077 0.402
Hg: 0.500 0.000 0.000
Hg: 0.689 0.923 0.598
S: 0.081 0.874 0.161
S: 0.281 0.866 0.617
S: 0.328 0.355 0.609
S: 0.495 0.706 0.997
S: 0.505 0.294 0.003
S: 0.672 0.645 0.391
S: 0.719 0.134 0.383
S: 0.919 0.126 0.839



No. 2
# LiFeNiBi

Crystalline LiFeNiBi at its relaxed geometry (GGA-PBE, the Open Quantum Materials Database).

## Properties
- crystal system = cubic
- distance to the lowest polymorph of the same formula (eV/atom) = 0.000

Lattice parameters (Å, degrees): 4.313 4.313 4.313 60.00 60.00 60.00
Positions (direct):
Li: 0.000 0.000 0.000
Fe: 0.500 0.500 0.500
Ni: 0.250 0.250 0.250
Bi: 0.750 0.750 0.750



No. 3
# RbPaAgTe3

Crystalline RbPaAgTe3 at its relaxed geometry (GGA-PBE, the Open Quantum Materials Database).

## Properties
- total energy (Ry/atom) = -0.3381
- crystal system = orthorhombic

Lattice parameters (Å, degrees): 8.445 8.445 11.585 90.00 90.00 149.37
Positions (direct):
Rb: 0.249 0.751 0.750
Rb: 0.751 0.249 0.250
Pa: 0.000 0.000 0.000
Pa: 0.000 0.000 0.500
Ag: 0.463 0.537 0.250
Ag: 0.537 0.463 0.750
Te: 0.069 0.931 0.250
Te: 0.371 0.629 0.046
Te: 0.371 0.629 0.454
Te: 0.629 0.371 0.546
Te: 0.629 0.371 0.954
Te: 0.931 0.069 0.750